# 1
First-principles (GGA-PBE) data for a relaxed structure of ZrHBr3, as listed in the Alexandria database.

a b c (Å): 5.3397 5.3397 5.3397
angles (deg): 90.00 90.00 90.00
With the nearest neighbours (Å) after each atom.
Fractional coordinates of all 5 atoms:
Zr: 0.0000 0.0000 0.0000  6 Br 2.67
H: 0.5000 0.5000 0.5000  12 Br 3.78
Br: 0.0000 0.0000 0.5000  2 Zr 2.67
Br: 0.0000 0.5000 0.0000  2 Zr 2.67
Br: 0.5000 0.0000 0.0000  2 Zr 2.67

Output
The space-group type is No. 221. The value obtained for the spin magnetization is 0.20 μB/atom. Its energy above the most stable polymorph in this dataset is 2.892 eV/f.u.

# 2
First-principles (GGA-PBE) data for a relaxed structure of YSc2Se, as listed in the Alexandria database.

a b c (Å): 6.0186 6.0186 6.0186
angles (deg): 138.60 138.60 59.98
With the nearest neighbours (Å) after each atom.
Fractional coordinates of all 4 atoms:
Y: 0.0000 0.0000 0.0000  4 Se 3.01, 8 Sc 3.36
Sc: 0.2500 0.7500 0.5000  4 Sc 3.01, 4 Se 3.36, 4 Y 3.36
Sc: 0.7500 0.2500 0.5000  4 Sc 3.01, 4 Se 3.36, 4 Y 3.36
Se: 0.5000 0.5000 0.0000  4 Y 3.01, 8 Sc 3.36

Output
The formation energy without anion corrections comes out at -1.72 eV per formula unit. The space-group type is No. 139. The value obtained for the spin magnetization is 0.28 μB/atom.

# 3
First-principles (GGA-PBE) data for a relaxed structure of Hf2ZnInSi, as listed in the Alexandria database.

a b c (Å): 5.0270 5.0270 4.3037
angles (deg): 90.00 90.00 90.00
With the nearest neighbours (Å) after each atom.
Fractional coordinates of all 5 atoms:
Hf: 0.0000 0.5000 0.0000  2 Zn 2.51
Hf: 0.5000 0.0000 0.0000  2 Zn 2.51
Zn: 0.0000 0.0000 0.0000  2 Si 2.15
In: 0.5000 0.5000 0.5000  8 Hf 3.31, 4 Si 3.55
Si: 0.0000 0.0000 0.5000  2 Zn 2.15

Output
The formation energy without anion corrections comes out at 2.81 eV per formula unit. The space-group type is No. 123. The value obtained for the spin magnetization is 0.00 μB/atom.

# 4
First-principles (GGA-PBE) data for a relaxed structure of CrReIr2, as listed in the Alexandria database.

a b c (Å): 3.8214 3.8214 3.8427
angles (deg): 90.00 90.00 90.00
With the nearest neighbours (Å) after each atom.
Fractional coordinates of all 4 atoms:
Cr: 0.0000 0.0000 0.0000  4 Re 2.70, 8 Ir 2.71
Re: 0.5000 0.5000 0.0000  4 Cr 2.70, 8 Ir 2.71
Ir: 0.0000 0.5000 0.5000  4 Ir 2.70, 4 Cr 2.71, 4 Re 2.71
Ir: 0.5000 0.0000 0.5000  4 Ir 2.70, 4 Cr 2.71, 4 Re 2.71

Output
The space-group type is No. 123. The calculation puts the formation enthalpy at 0 K at -0.706 eV per formula unit. The value obtained for the spin magnetization is 0.16 μB/atom. Its energy above the most stable polymorph in this dataset is 0.332 eV/f.u.

# 5
First-principles (GGA-PBE) data for a relaxed structure of Cr2TcHRu, as listed in the Alexandria database.

a b c (Å): 3.7880 3.7880 3.7857
angles (deg): 90.00 90.00 90.00
With the nearest neighbours (Å) after each atom.
Fractional coordinates of all 5 atoms:
Cr: 0.0000 0.5000 0.0000  2 H 1.89
Cr: 0.5000 0.0000 0.0000  2 H 1.89
Tc: 0.0000 0.0000 0.5000  2 H 1.89
H: 0.0000 0.0000 0.0000  2 Tc 1.89, 4 Cr 1.89
Ru: 0.5000 0.5000 0.5000  8 Cr 2.68, 4 Tc 2.68

Output
The space-group type is No. 123. The value obtained for the spin magnetization is 0.00 μB/atom. Its energy above the most stable polymorph in this dataset is 0.011 eV/f.u.

# 6
First-principles (GGA-PBE) data for a relaxed structure of Ca2BeSi2Rh5, as listed in the Alexandria database.

a b c (Å): 9.9759 9.9759 3.0947
angles (deg): 90.00 90.00 90.00
With the nearest neighbours (Å) after each atom.
Fractional coordinates of all 20 atoms:
Ca: 0.1718 0.3282 0.0000  3 Si 2.77-3.05, 6 Rh 2.88-3.05, 2 Ca 3.09
Ca: 0.3282 0.8282 0.0000  3 Si 2.77-3.05, 6 Rh 2.88-3.05, 2 Ca 3.09
Ca: 0.6718 0.1718 0.0000  3 Si 2.77-3.05, 6 Rh 2.88-3.05, 2 Ca 3.09
Ca: 0.8282 0.6718 0.0000  3 Si 2.77-3.05, 6 Rh 2.88-3.05, 2 Ca 3.09
Be: 0.0000 0.0000 0.0000  8 Rh 2.59
Be: 0.5000 0.5000 0.0000  8 Rh 2.59
Si: 0.1318 0.6318 0.0000  6 Rh 2.39-2.42
Si: 0.3682 0.1318 0.0000  6 Rh 2.39-2.42
Si: 0.6318 0.8682 0.0000  6 Rh 2.39-2.42
Si: 0.8682 0.3682 0.0000  6 Rh 2.39-2.42
Rh: 0.0000 0.5000 0.5000  4 Si 2.42
Rh: 0.0654 0.8025 0.5000  2 Si 2.39, 2 Be 2.59
Rh: 0.1975 0.0654 0.5000  2 Si 2.39, 2 Be 2.59
Rh: 0.3025 0.5654 0.5000  2 Si 2.39, 2 Be 2.59
Rh: 0.4346 0.3025 0.5000  2 Si 2.39, 2 Be 2.59
Rh: 0.5000 0.0000 0.5000  4 Si 2.42
Rh: 0.5654 0.6975 0.5000  2 Si 2.39, 2 Be 2.59
Rh: 0.6975 0.4346 0.5000  2 Si 2.39, 2 Be 2.59
Rh: 0.8025 0.9346 0.5000  2 Si 2.39, 2 Be 2.59
Rh: 0.9346 0.1975 0.5000  2 Si 2.39, 2 Be 2.59

Output
The formation energy without anion corrections comes out at -6.91 eV per formula unit. The space-group type is No. 127. The value obtained for the spin magnetization is 0.00 μB/atom.

# 7
First-principles (GGA-PBE) data for a relaxed structure of Ac8Sn3Pb2, as listed in the Alexandria database.

a b c (Å): 9.8537 9.8537 8.1236
angles (deg): 105.71 105.71 55.65
With the nearest neighbours (Å) after each atom.
Fractional coordinates of all 13 atoms:
Ac: 0.0963 0.0963 0.3389  2 Sn 3.28, 1 Pb 3.38
Ac: 0.1346 0.6337 0.0955  2 Sn 3.29-3.30, 2 Pb 3.45-3.50
Ac: 0.3663 0.8654 0.9045  2 Sn 3.29-3.30, 2 Pb 3.45-3.50
Ac: 0.3846 0.3846 0.5836  3 Sn 3.32-3.37, 1 Pb 3.48
Ac: 0.6154 0.6154 0.4164  3 Sn 3.32-3.37, 1 Pb 3.48
Ac: 0.6337 0.1346 0.0955  2 Sn 3.29-3.30, 2 Pb 3.45-3.50
Ac: 0.8654 0.3663 0.9045  2 Sn 3.29-3.30, 2 Pb 3.45-3.50
Ac: 0.9037 0.9037 0.6611  2 Sn 3.28, 1 Pb 3.38
Sn: 0.2409 0.7591 0.5000  6 Ac 3.28-3.32
Sn: 0.5000 0.5000 0.0000  6 Ac 3.30-3.37
Sn: 0.7591 0.2409 0.5000  6 Ac 3.28-3.32
Pb: 0.2503 0.2503 0.1667  6 Ac 3.38-3.50
Pb: 0.7497 0.7497 0.8333  6 Ac 3.38-3.50

Output
The space-group type is No. 12. The calculation puts the formation enthalpy at 0 K at -3.729 eV per formula unit. The value obtained for the spin magnetization is 0.00 μB/atom.

# 8
First-principles (GGA-PBE) data for a relaxed structure of Mg2CdCl, as listed in the Alexandria database.

a b c (Å): 5.1872 5.1872 5.1872
angles (deg): 60.00 60.00 60.00
With the nearest neighbours (Å) after each atom.
Fractional coordinates of all 4 atoms:
Mg: 0.2500 0.2500 0.2500  4 Cd 3.18, 4 Cl 3.18
Mg: 0.7500 0.7500 0.7500  4 Cd 3.18, 4 Cl 3.18
Cd: 0.0000 0.0000 0.0000  8 Mg 3.18
Cl: 0.5000 0.5000 0.5000  8 Mg 3.18

Output
The formation energy without anion corrections comes out at -0.66 eV per formula unit. The space-group type is No. 225. The value obtained for the spin magnetization is 0.00 μB/atom. Its energy above the most stable polymorph in this dataset is 1.624 eV/f.u.